No. 1
Compound: Zn2AsP3Pd2
Source: the Open Quantum Materials Database
Functional: PBE
Structure: optimized geometry Values from VASP.

Results
Electronic total energy in eV per atom: -4.208
Space-group type: C2, No. 5

Quantum ESPRESSO input file:
```
&SYSTEM
  ibrav = 0, nat = 8, ntyp = 4
/
ATOMIC_SPECIES
P 30.97 P.upf
Zn 65.41 Zn.upf
As 74.92 As.upf
Pd 106.42 Pd.upf
ATOMIC_POSITIONS angstrom
P 4.938 -0.621 2.443
P 1.234 -0.693 3.729
P 8.643 -0.693 1.158
Zn 6.809 -1.997 1.928
As 6.141 2.000 0.000
Pd 5.632 0.627 4.250
Pd 4.245 0.627 0.637
Zn 3.068 -1.997 2.958
CELL_PARAMETERS angstrom
6.141 -2.745 0.000
6.141 2.745 0.000
-2.405 0.000 4.886
```

=====

No. 2
Compound: Pr3AsP2
Source: the Open Quantum Materials Database
Functional: PBE
Structure: optimized geometry Values from VASP.

Results
Electronic total energy in eV per atom: -6.477
Space-group type: P-3m1, No. 164

Quantum ESPRESSO input file:
```
&SYSTEM
  ibrav = 0, nat = 6, ntyp = 3
/
ATOMIC_SPECIES
Pr 140.91 Pr.upf
P 30.97 P.upf
As 74.92 As.upf
ATOMIC_POSITIONS angstrom
Pr 0.000 0.000 0.000
P 2.196 -8.724 0.629
As 2.553 -4.481 0.616
Pr -0.398 -4.172 0.003
P -0.623 -2.048 2.076
Pr 1.971 -6.600 2.701
CELL_PARAMETERS angstrom
-0.851 0.085 4.147
-2.682 -1.895 -2.674
5.106 -8.961 1.231
```

=====

No. 3
Compound: Pr3As2P
Source: the Open Quantum Materials Database
Functional: PBE
Structure: optimized geometry Values from VASP.

Results
Electronic total energy in eV per atom: -6.345
Space-group type: P-3m1, No. 164

Quantum ESPRESSO input file:
```
&SYSTEM
  ibrav = 0, nat = 6, ntyp = 3
/
ATOMIC_SPECIES
As 74.92 As.upf
Pr 140.91 Pr.upf
P 30.97 P.upf
ATOMIC_POSITIONS angstrom
As -1.945 0.169 2.326
Pr -3.378 4.492 4.739
Pr 0.000 0.000 0.000
As -1.526 6.414 6.196
Pr -0.093 2.091 3.783
P -1.457 4.394 2.453
CELL_PARAMETERS angstrom
-3.799 -1.747 0.872
3.242 -0.457 2.744
-2.913 8.787 4.906
```

=====

No. 4
Compound: Rb4AsPPt2
Source: the Open Quantum Materials Database
Functional: PBE
Structure: optimized geometry Values from VASP.

Results
Electronic total energy in eV per atom: -3.663
Space-group type: Amm2, No. 38

Quantum ESPRESSO input file:
```
&SYSTEM
  ibrav = 0, nat = 8, ntyp = 4
/
ATOMIC_SPECIES
Rb 85.47 Rb.upf
As 74.92 As.upf
Pt 195.08 Pt.upf
P 30.97 P.upf
ATOMIC_POSITIONS angstrom
Rb -1.636 5.188 -0.401
As 0.006 1.936 0.101
Rb -2.773 2.661 2.202
Rb 0.561 2.580 3.557
Pt -0.529 7.768 1.765
P -1.096 5.931 3.052
Rb 1.666 5.109 0.939
Pt -1.653 7.627 4.524
CELL_PARAMETERS angstrom
-2.228 -0.279 5.470
4.840 3.833 2.167
-4.817 4.067 -1.754
```

=====

No. 5
Compound: RbAsPPt2
Source: the Open Quantum Materials Database
Functional: PBE
Structure: optimized geometry Values from VASP.

Results
Electronic total energy in eV per atom: -5.157
Space-group type: Cm, No. 8

Quantum ESPRESSO input file:
```
&SYSTEM
  ibrav = 0, nat = 5, ntyp = 4
/
ATOMIC_SPECIES
As 74.92 As.upf
Pt 195.08 Pt.upf
Rb 85.47 Rb.upf
P 30.97 P.upf
ATOMIC_POSITIONS angstrom
As 1.646 -0.401 2.988
Pt 2.266 2.065 2.826
Pt 3.489 -1.562 1.666
Rb 5.592 0.476 4.405
P 3.828 0.831 1.437
CELL_PARAMETERS angstrom
-1.425 2.123 3.606
0.658 -4.056 1.629
6.375 2.403 -0.794
```

=====

No. 6
Compound: Zn2AsP3Pt2
Source: the Open Quantum Materials Database
Functional: PBE
Structure: optimized geometry Values from VASP.

Results
Electronic total energy in eV per atom: -4.557
Space-group type: C2, No. 5

Quantum ESPRESSO input file:
```
&SYSTEM
  ibrav = 0, nat = 8, ntyp = 4
/
ATOMIC_SPECIES
Pt 195.08 Pt.upf
Zn 65.41 Zn.upf
P 30.97 P.upf
As 74.92 As.upf
ATOMIC_POSITIONS angstrom
Pt 6.423 -0.632 1.989
Zn 4.036 2.012 0.708
Pt 2.554 -0.632 3.008
P 8.112 0.723 1.236
As 5.847 -1.931 0.000
Zn 4.941 2.012 4.289
P 0.865 0.723 3.761
P 4.488 0.505 2.498
CELL_PARAMETERS angstrom
5.847 -2.782 0.000
5.847 2.782 0.000
-2.718 0.000 4.997
```

=====

No. 7
Compound: Pu3AsP2
Source: the Open Quantum Materials Database
Functional: PBE
Structure: optimized geometry Values from VASP.

Results
Electronic total energy in eV per atom: -10.845
Space-group type: P-3m1, No. 164

Quantum ESPRESSO input file:
```
&SYSTEM
  ibrav = 0, nat = 6, ntyp = 3
/
ATOMIC_SPECIES
Pu 244.00 Pu.upf
As 74.92 As.upf
P 30.97 P.upf
ATOMIC_POSITIONS angstrom
Pu 0.000 0.000 0.000
As -3.676 3.264 0.545
Pu -3.488 0.640 1.785
P -7.252 3.983 2.343
Pu -6.476 2.854 -0.129
P -2.712 -0.488 -0.687
CELL_PARAMETERS angstrom
-1.918 -1.633 -3.162
-0.692 -1.402 3.728
-7.353 6.529 1.090
```

=====

No. 8
Compound: Pu2Zn2AsP3
Source: the Open Quantum Materials Database
Functional: PBE
Structure: optimized geometry Values from VASP.

Results
Electronic total energy in eV per atom: -6.926
Space-group type: C2, No. 5

Quantum ESPRESSO input file:
```
&SYSTEM
  ibrav = 0, nat = 8, ntyp = 4
/
ATOMIC_SPECIES
As 74.92 As.upf
Pu 244.00 Pu.upf
P 30.97 P.upf
Zn 65.41 Zn.upf
ATOMIC_POSITIONS angstrom
As 2.393 -2.961 2.389
Pu 4.285 -0.815 2.944
P 4.691 -2.316 0.000
Zn 6.535 -0.924 0.503
P 1.464 0.846 3.791
Zn -1.750 -0.924 4.275
P 3.321 0.846 0.987
Pu 0.500 -0.815 1.833
CELL_PARAMETERS angstrom
4.691 -3.532 0.000
4.691 3.532 0.000
-4.597 0.000 4.778
```